(1)
Material: AcSm12Dy6
Method: DFT, PBE
State: optimized geometry

Formation enthalpy at 0 K = 0.198 eV per atom
Crystal system = trigonal
Space group = No. 166
Density = 7.54 g cm⁻³
Final energy = -84.58 eV for the cell shown

Unit cell a=8.844 b=8.844 c=8.844 alpha=99.17 beta=99.17 gamma=99.17
Positions (direct):
Sm 0.645 0.645 0.919
Sm 0.919 0.645 0.645
Sm 0.241 0.500 0.759
Sm 0.355 0.081 0.355
Sm 0.355 0.355 0.081
Sm 0.500 0.759 0.241
Sm 0.759 0.241 0.500
Sm 0.645 0.919 0.645
Sm 0.081 0.355 0.355
Sm 0.500 0.241 0.759
Sm 0.759 0.500 0.241
Sm 0.241 0.759 0.500
Dy 0.103 0.103 0.656
Dy 0.897 0.897 0.344
Dy 0.656 0.103 0.103
Dy 0.897 0.344 0.897
Dy 0.103 0.656 0.103
Dy 0.344 0.897 0.897
Ac 0.000 0.000 0.000

(2)
Material: Ac12Sm3Dy5
Method: DFT, PBE
State: optimized geometry

Formation enthalpy at 0 K = 0.961 eV per atom
Crystal system = cubic
Space group = No. 230
Density = 6.48 g cm⁻³
Final energy = -269.01 eV for the cell shown

Unit cell a=17.443 b=17.443 c=17.443 alpha=109.47 beta=109.47 gamma=109.47
Positions (direct):
Ac 0.340 0.568 0.437
Ac 0.068 0.631 0.728
Ac 0.937 0.097 0.869
Ac 0.068 0.437 0.840
Ac 0.597 0.869 0.437
Ac 0.131 0.403 0.063
Ac 0.403 0.131 0.563
Ac 0.772 0.340 0.903
Ac 0.160 0.063 0.932
Ac 0.728 0.597 0.160
Ac 0.728 0.131 0.068
Ac 0.840 0.903 0.272
Ac 0.340 0.772 0.403
Ac 0.568 0.340 0.937
Ac 0.937 0.840 0.568
Ac 0.631 0.068 0.228
Ac 0.097 0.937 0.369
Ac 0.432 0.772 0.869
Ac 0.840 0.937 0.068
Ac 0.597 0.728 0.660
Ac 0.903 0.063 0.631
Ac 0.903 0.840 0.772
Ac 0.369 0.437 0.097
Ac 0.631 0.563 0.903
Ac 0.160 0.097 0.728
Ac 0.563 0.631 0.403
Ac 0.063 0.160 0.432
Ac 0.272 0.403 0.840
Ac 0.568 0.228 0.131
Ac 0.131 0.728 0.568
Ac 0.097 0.160 0.228
Ac 0.772 0.432 0.369
Ac 0.869 0.597 0.937
Ac 0.563 0.932 0.660
Ac 0.369 0.932 0.772
Ac 0.437 0.068 0.340
Ac 0.660 0.228 0.597
Ac 0.432 0.660 0.063
Ac 0.437 0.369 0.597
Ac 0.660 0.432 0.563
Ac 0.932 0.369 0.272
Ac 0.063 0.903 0.131
Ac 0.869 0.272 0.432
Ac 0.228 0.568 0.631
Ac 0.272 0.869 0.932
Ac 0.932 0.563 0.160
Ac 0.228 0.660 0.097
Ac 0.403 0.272 0.340
Dy 0.375 0.125 0.750
Dy 0.500 0.500 0.500
Dy 0.000 0.500 0.000
Dy 0.375 0.250 0.125
Dy 0.000 0.000 0.000
Dy 0.000 0.500 0.500
Dy 0.250 0.375 0.625
Dy 0.875 0.250 0.625
Dy 0.250 0.875 0.125
Dy 0.000 0.000 0.500
Dy 0.750 0.625 0.375
Dy 0.500 0.000 0.000
Dy 0.125 0.375 0.250
Dy 0.500 0.000 0.500
Dy 0.625 0.750 0.875
Dy 0.625 0.875 0.250
Dy 0.500 0.500 0.000
Dy 0.875 0.625 0.750
Dy 0.125 0.750 0.375
Dy 0.750 0.125 0.875
Sm 0.250 0.625 0.875
Sm 0.250 0.125 0.375
Sm 0.875 0.750 0.125
Sm 0.750 0.375 0.125
Sm 0.375 0.750 0.625
Sm 0.625 0.250 0.375
Sm 0.125 0.875 0.750
Sm 0.375 0.625 0.250
Sm 0.125 0.250 0.875
Sm 0.625 0.375 0.750
Sm 0.750 0.875 0.625
Sm 0.875 0.125 0.250

(3)
Material: Ac7Sm3Dy
Method: DFT, PBE
State: optimized geometry

Formation enthalpy at 0 K = 0.275 eV per atom
Crystal system = monoclinic
Space group = No. 12
Density = 7.79 g cm⁻³
Final energy = -44.50 eV for the cell shown

Unit cell a=6.912 b=8.290 c=8.290 alpha=84.53 beta=85.00 gamma=85.00
Positions (direct):
Ac 0.260 0.077 0.419
Ac 0.228 0.763 0.763
Ac 0.772 0.237 0.237
Ac 0.260 0.419 0.077
Ac 0.000 0.500 0.500
Ac 0.740 0.581 0.923
Ac 0.740 0.923 0.581
Sm 0.000 0.163 0.837
Sm 0.500 0.000 0.000
Sm 0.000 0.837 0.163
Dy 0.500 0.500 0.500

(4)
Material: AcTbSm2Dy5
Method: DFT, PBE
State: optimized geometry

Formation enthalpy at 0 K = 0.262 eV per atom
Crystal system = tetragonal
Space group = No. 140
Density = 8.17 g cm⁻³
Final energy = -77.66 eV for the cell shown

Unit cell a=8.878 b=8.878 c=9.956 alpha=116.48 beta=116.48 gamma=90.00
Positions (direct):
Dy 0.337 0.837 0.263
Dy 0.426 0.337 0.263
Dy 0.663 0.163 0.737
Dy 0.163 0.074 0.737
Dy 0.074 0.574 0.737
Dy 0.574 0.663 0.737
Dy 0.837 0.926 0.263
Dy 0.926 0.426 0.263
Dy 0.000 0.000 0.000
Dy 0.500 0.500 0.000
Sm 0.616 0.116 0.000
Sm 0.116 0.384 0.000
Sm 0.884 0.616 0.000
Sm 0.384 0.884 0.000
Ac 0.250 0.250 0.500
Ac 0.750 0.750 0.500
Tb 0.750 0.250 0.500
Tb 0.250 0.750 0.500

(5)
Material: AcTb2Sm5Dy
Method: DFT, PBE
State: optimized geometry

Formation enthalpy at 0 K = 0.145 eV per atom
Crystal system = orthorhombic
Space group = No. 36
Density = 7.60 g cm⁻³
Final energy = -80.52 eV for the cell shown

Unit cell a=5.562 b=12.476 c=9.431 alpha=90.00 beta=90.00 gamma=102.88
Positions (direct):
Tb 0.828 0.656 0.180
Tb 0.113 0.225 0.280
Tb 0.172 0.344 0.680
Tb 0.887 0.775 0.780
Dy 0.761 0.521 0.538
Dy 0.239 0.479 0.038
Sm 0.476 0.952 0.751
Sm 0.258 0.516 0.365
Sm 0.309 0.618 0.724
Sm 0.605 0.210 0.530
Sm 0.395 0.790 0.030
Sm 0.691 0.382 0.224
Sm 0.009 0.018 0.528
Sm 0.524 0.048 0.251
Sm 0.742 0.484 0.865
Sm 0.991 0.982 0.028
Ac 0.398 0.796 0.428
Ac 0.602 0.204 0.928

(6)
Material: AcTb6SmDy2
Method: DFT, PBE
State: optimized geometry

Formation enthalpy at 0 K = 0.129 eV per atom
Crystal system = monoclinic
Space group = No. 15
Density = 8.12 g cm⁻³
Final energy = -89.04 eV for the cell shown

Unit cell a=9.606 b=8.948 c=8.948 alpha=117.86 beta=92.78 gamma=92.78
Positions (direct):
Dy 0.548 0.199 0.313
Dy 0.952 0.687 0.801
Dy 0.452 0.801 0.687
Dy 0.048 0.313 0.199
Tb 0.557 0.749 0.126
Tb 0.820 0.442 0.982
Tb 0.180 0.558 0.018
Tb 0.443 0.251 0.874
Tb 0.117 0.711 0.491
Tb 0.320 0.982 0.442
Tb 0.383 0.509 0.289
Tb 0.057 0.126 0.749
Tb 0.617 0.491 0.711
Tb 0.680 0.018 0.558
Tb 0.943 0.874 0.251
Tb 0.883 0.289 0.509
Sm 0.250 0.411 0.589
Sm 0.750 0.589 0.411
Ac 0.250 0.970 0.030
Ac 0.750 0.030 0.970

(7)
Material: AcTb2Sm2Dy2
Method: DFT, PBE
State: optimized geometry

Formation enthalpy at 0 K = 0.038 eV per atom
Crystal system = monoclinic
Space group = No. 12
Density = 8.16 g cm⁻³
Final energy = -31.75 eV for the cell shown

Unit cell a=5.152 b=6.282 c=8.153 alpha=97.49 beta=90.00 gamma=114.21
Positions (direct):
Dy 0.143 0.286 0.434
Dy 0.857 0.714 0.566
Sm 0.426 0.852 0.290
Sm 0.574 0.148 0.710
Tb 0.715 0.429 0.150
Tb 0.285 0.571 0.850
Ac 0.000 0.000 0.000

(8)
Material: AcTb3Sm6Dy2
Method: DFT, PBE
State: optimized geometry

Formation enthalpy at 0 K = 0.027 eV per atom
Crystal system = monoclinic
Space group = No. 12
Density = 7.92 g cm⁻³
Final energy = -55.20 eV for the cell shown

Unit cell a=6.280 b=6.280 c=12.038 alpha=95.00 beta=95.00 gamma=119.98
Positions (direct):
Sm 0.748 0.748 0.254
Sm 0.915 0.579 0.746
Sm 0.252 0.252 0.746
Sm 0.579 0.915 0.746
Sm 0.421 0.085 0.254
Sm 0.085 0.421 0.254
Tb 0.833 0.167 0.500
Tb 0.500 0.500 0.500
Tb 0.167 0.833 0.500
Ac 0.000 0.000 0.000
Dy 0.667 0.333 0.000
Dy 0.333 0.667 0.000

(9)
Material: AcTb6Sm2Dy3
Method: DFT, PBE
State: optimized geometry

Formation enthalpy at 0 K = 0.028 eV per atom
Crystal system = monoclinic
Space group = No. 12
Density = 8.24 g cm⁻³
Final energy = -54.80 eV for the cell shown

Unit cell a=6.244 b=6.244 c=11.925 alpha=95.00 beta=95.00 gamma=119.99
Positions (direct):
Tb 0.086 0.422 0.255
Tb 0.914 0.578 0.745
Tb 0.750 0.750 0.256
Tb 0.250 0.250 0.744
Tb 0.422 0.086 0.255
Tb 0.578 0.914 0.745
Dy 0.500 0.500 0.500
Dy 0.833 0.167 0.500
Dy 0.167 0.833 0.500
Ac 0.000 0.000 0.000
Sm 0.333 0.667 0.000
Sm 0.667 0.333 0.000

(10)
Material: AcTbSm2Dy4
Method: DFT, PBE
State: optimized geometry

Formation enthalpy at 0 K = 0.036 eV per atom
Crystal system = orthorhombic
Space group = No. 47
Density = 8.27 g cm⁻³
Final energy = -36.30 eV for the cell shown

Unit cell a=5.147 b=5.122 c=11.397 alpha=63.28 beta=90.00 gamma=90.00
Positions (direct):
Sm 0.000 0.000 0.000
Sm 0.500 0.000 0.500
Dy 0.000 0.758 0.742
Dy 0.500 0.258 0.742
Dy 0.500 0.742 0.258
Dy 0.000 0.242 0.258
Ac 0.500 0.500 0.000
Tb 0.000 0.500 0.500

(11)
Material: AcTbSm4Dy2
Method: DFT, PBE
State: optimized geometry

Formation enthalpy at 0 K = 0.032 eV per atom
Crystal system = orthorhombic
Space group = No. 47
Density = 7.97 g cm⁻³
Final energy = -36.56 eV for the cell shown

Unit cell a=5.156 b=5.135 c=11.537 alpha=63.54 beta=90.00 gamma=90.00
Positions (direct):
Ac 0.500 0.500 0.000
Dy 0.500 0.000 0.500
Dy 0.000 0.000 0.000
Sm 0.000 0.757 0.743
Sm 0.500 0.258 0.742
Sm 0.000 0.243 0.257
Sm 0.500 0.742 0.258
Tb 0.000 0.500 0.500

(12)
Material: AcTb2SmDy6
Method: DFT, PBE
State: optimized geometry

Formation enthalpy at 0 K = 0.131 eV per atom
Crystal system = monoclinic
Space group = No. 15
Density = 8.24 g cm⁻³
Final energy = -88.78 eV for the cell shown

Unit cell a=9.580 b=8.936 c=8.936 alpha=117.94 beta=92.75 gamma=92.75
Positions (direct):
Tb 0.048 0.312 0.198
Tb 0.952 0.688 0.802
Tb 0.452 0.802 0.688
Tb 0.548 0.198 0.312
Dy 0.320 0.981 0.442
Dy 0.942 0.873 0.251
Dy 0.883 0.289 0.509
Dy 0.442 0.251 0.873
Dy 0.058 0.127 0.749
Dy 0.617 0.491 0.711
Dy 0.680 0.019 0.558
Dy 0.820 0.442 0.981
Dy 0.117 0.711 0.491
Dy 0.180 0.558 0.019
Dy 0.383 0.509 0.289
Dy 0.558 0.749 0.127
Ac 0.750 0.030 0.970
Ac 0.250 0.970 0.030
Sm 0.250 0.411 0.589
Sm 0.750 0.589 0.411